## BaLu2Zn (GGA-PBE)

Data for an optimized crystal structure of BaLu2Zn.

It has space group F-43m (No. 216), with a = 7.8502 Å, b = 7.8502 Å, c = 7.8502 Å, α = 90.00°, β = 90.00° and γ = 90.00°. The inequivalent atoms are Ba at (0.0000, 0.0000, 0.0000), Lu at (0.0000, 0.0000, 0.5000), Lu at (0.2500, 0.2500, 0.7500) and Zn at (0.2500, 0.2500, 0.2500).

For the energy, the calculation gives -45.0 eV for the cell shown. The calculation puts the total magnetization at 0.0 μB per formula unit.


## BaLuZr (GGA-PBE)

Data for an optimized crystal structure of BaLuZr.

It has space group F-43m (No. 216), with a = 7.5390 Å, b = 7.5390 Å, c = 7.5390 Å, α = 90.00°, β = 90.00° and γ = 90.00°. The inequivalent atoms are Ba at (0.0000, 0.0000, 0.0000), Lu at (0.2500, 0.2500, 0.7500) and Zr at (0.2500, 0.2500, 0.2500).

For the energy, the calculation gives -43.7 eV for the cell shown. The calculation puts the total magnetization at 1.2 μB per formula unit.


## Ba2MgMo (GGA-PBE)

Data for an optimized crystal structure of Ba2MgMo.

It has space group F-43m (No. 216), with a = 7.8318 Å, b = 7.8318 Å, c = 7.8318 Å, α = 90.00°, β = 90.00° and γ = 90.00°. The inequivalent atoms are Ba at (0.0000, 0.0000, 0.0000), Ba at (0.2500, 0.2500, 0.2500), Mg at (0.0000, 0.0000, 0.5000) and Mo at (0.2500, 0.2500, 0.7500).

For the energy, the calculation gives -51.3 eV for the cell shown. The calculation puts the total magnetization at 3.8 μB per formula unit.


## BaMgMoOs (GGA-PBE)

Data for an optimized crystal structure of BaMgMoOs.

It has space group F-43m (No. 216), with a = 6.8667 Å, b = 6.8667 Å, c = 6.8667 Å, α = 90.00°, β = 90.00° and γ = 90.00°. The inequivalent atoms are Ba at (0.0000, 0.0000, 0.0000), Mg at (0.2500, 0.2500, 0.2500), Mo at (0.2500, 0.2500, 0.7500) and Os at (0.0000, 0.0000, 0.5000).

The energy above the most stable polymorph in this dataset is 0 meV per atom. For the energy, the calculation gives -86.5 eV for the cell shown. The calculation puts the total magnetization at 0.0 μB per formula unit.


## BaMgMoOs (GGA-PBE)

Data for an optimized crystal structure of BaMgMoOs.

It has space group F-43m (No. 216), with a = 6.9314 Å, b = 6.9314 Å, c = 6.9314 Å, α = 90.00°, β = 90.00° and γ = 90.00°. The inequivalent atoms are Ba at (0.0000, 0.0000, 0.0000), Mg at (0.0000, 0.0000, 0.5000), Mo at (0.2500, 0.2500, 0.2500) and Os at (0.2500, 0.2500, 0.7500).

The energy above the most stable polymorph in this dataset is 351 meV per atom. For the energy, the calculation gives -80.9 eV for the cell shown. The calculation puts the total magnetization at 2.2 μB per formula unit.


## BaMgMoOs (GGA-PBE)

Data for an optimized crystal structure of BaMgMoOs.

It has space group F-43m (No. 216), with a = 6.9997 Å, b = 6.9997 Å, c = 6.9997 Å, α = 90.00°, β = 90.00° and γ = 90.00°. The inequivalent atoms are Ba at (0.0000, 0.0000, 0.0000), Mg at (0.2500, 0.2500, 0.7500), Mo at (0.0000, 0.0000, 0.5000) and Os at (0.2500, 0.2500, 0.2500).

The energy above the most stable polymorph in this dataset is 155 meV per atom. For the energy, the calculation gives -84.0 eV for the cell shown. The calculation puts the total magnetization at 1.5 μB per formula unit.


## Ba2MgMoS6 (GGA-PBE)

Data for an optimized crystal structure of Ba2MgMoS6.

It has space group C2/c (No. 15), with a = 14.7525 Å, b = 10.1686 Å, c = 10.4132 Å, α = 90.00°, β = 131.08° and γ = 90.00°. The inequivalent atoms are Ba at (0.2367, 0.1643, 0.2404), Mg at (0.0000, 0.4660, 0.2500), Mo at (0.0000, 0.2076, 0.7500), S at (0.0205, 0.3570, 0.9340), S at (0.1225, 0.2693, 0.3775) and S at (0.1666, 0.0918, 0.8681).

The energy above the most stable polymorph in this dataset is 90 meV per atom. For the energy, the calculation gives -207.5 eV for the cell shown. The calculation puts the total magnetization at 1.4 μB per formula unit.


## Ba2MgMoS6 (GGA-PBE)

Data for an optimized crystal structure of Ba2MgMoS6.

It has space group Fm-3m (No. 225), with a = 9.7775 Å, b = 9.7775 Å, c = 9.7775 Å, α = 90.00°, β = 90.00° and γ = 90.00°. The inequivalent atoms are Ba at (0.2500, 0.2500, 0.2500), Mg at (0.0000, 0.0000, 0.0000), Mo at (0.0000, 0.0000, 0.5000) and S at (0.0000, 0.0000, 0.2555).

The energy above the most stable polymorph in this dataset is 0 meV per atom. For the energy, the calculation gives -211.1 eV for the cell shown. The calculation puts the total magnetization at 0.0 μB per formula unit.